Entry 1:
This record from Alexandria describes a geometry-optimized LiAgTePd structure. The functional is PBE-GGA.

```
4
Lattice="4.689 0.000 0.000 2.344 4.060 0.000 2.344 1.353 3.828" Properties=species:S:1:pos:R:3 pbc="T T T"
Ag 4.689 2.707 1.914
Li 7.033 4.060 2.871
Te 0.000 0.000 0.000
Pd 2.344 1.353 0.957
```

- Raw formation energy: -0.37 eV per atom

***

Entry 2:
This record from Alexandria describes a geometry-optimized KLaTiO4 structure. The functional is PBE-GGA.

```
14
Lattice="-2.231 -0.081 -3.156 0.963 -3.698 -0.585 -10.607 -3.965 7.602" Properties=species:S:1:pos:R:3 pbc="T T T"
O -9.416 -5.549 6.801
O -3.028 -2.784 -0.155
O -2.393 -0.895 1.715
O -6.032 -4.284 4.376
O -8.848 -4.960 4.016
O -1.825 -0.306 -1.069
O -8.214 -3.070 5.887
O -5.209 -1.571 1.356
La -10.618 -3.593 5.233
La -0.623 -2.262 0.499
K -3.830 -3.461 2.797
K -7.411 -2.394 2.934
Ti -3.839 -1.059 0.374
Ti -7.402 -4.796 5.357
```

- Raw formation energy: -2.99 eV per atom

***

Entry 3:
This record from Alexandria describes a geometry-optimized Tm5GeRu4 structure. The functional is PBE-GGA.

```
10
Lattice="-0.055 -2.991 1.626 2.972 0.750 1.481 -8.187 7.125 12.822" Properties=species:S:1:pos:R:3 pbc="T T T"
Ru -3.275 2.850 5.129
Ru -6.553 5.703 10.263
Ru -4.912 4.275 7.693
Ru -1.634 1.422 2.559
Tm -5.842 5.233 12.987
Tm 0.572 -0.348 2.942
Tm -1.028 1.044 5.449
Tm -2.635 2.442 7.965
Tm -4.242 3.841 10.481
Ge 0.000 0.000 0.000
```

- Energy of formation from the pure elements: -0.507 eV/atom

***

no.,energy (eV/atom),density of states at the Fermi level (states/eV per cell)
1,-3.65,1.25
2,-7.81,0.00
3,-6.92,5.86